# 1
VASP calculation (PBE-GGA) on LiOs2Ru after structural relaxation.

Unit cell a=4.4830 b=4.4830 c=2.7262 alpha=90.00 beta=90.00 gamma=90.00
Sites, in units of the cell vectors:
Li (0.0000, 0.5000, 0.5000)
Os (0.0000, 0.0000, 0.0000)
Os (0.5000, 0.5000, 0.0000)
Ru (0.5000, 0.0000, 0.5000)

Summary:
- symmetry = P4/mmm
- calculated volume (Å³ per cell) = 55
- VASP energy (eV/cell) = -31.74

=====

# 2
VASP calculation (PBE-GGA) on Li2OsRu after structural relaxation.

Unit cell a=2.6084 b=2.6084 c=9.2478 alpha=90.00 beta=90.00 gamma=118.53
Sites, in units of the cell vectors:
Li (0.0000, 0.0000, 0.9982)
Li (0.0000, 0.0000, 0.5018)
Os (0.5000, 0.5000, 0.2500)
Ru (0.5000, 0.5000, 0.7500)

Summary:
- symmetry = Cmmm
- calculated volume (Å³ per cell) = 55
- VASP energy (eV/cell) = -23.58

=====

The highest VASP energy belongs to which entry? Li2OsRu